1.
Compound: CsYTe2
Source: Alexandria via LeMat-Bulk
Functional: GGA-PBE
Structure: optimized geometry

Results
The space group is C2/c (15). Its uncorrected formation energy is -1237 meV/atom. The calculation puts the density of states at the Fermi level at 0.0 states/eV per cell.

Lattice parameters (Å, degrees): 22.2522 8.1866 8.1866 90.02 105.71 74.29
Last column: nearest neighbours and their distance in Å.
Atoms (fractional coordinates):
Te (0.2481, 0.3245, 0.2990)  4 Y 3.16-3.24
Te (0.5713, 0.8343, 0.8030)  2 Y 2.95-3.07
Te (0.7519, 0.6755, 0.7010)  4 Y 3.16-3.24
Te (0.4297, 0.6942, 0.1982)  2 Y 2.95-3.08
Te (0.2519, 0.7990, 0.8245)  4 Y 3.16-3.24
Te (0.0713, 0.6970, 0.6657)  2 Y 2.95-3.07
Te (0.9297, 0.3018, 0.8058)  2 Y 2.95-3.08
Te (0.7500, 0.6750, 0.1750)  4 Y 3.18-3.23
Te (0.0703, 0.6982, 0.1942)  2 Y 2.95-3.08
Te (0.7481, 0.2010, 0.1755)  4 Y 3.16-3.24
Te (0.2500, 0.8022, 0.3022)  4 Y 3.16-3.23
Te (0.7500, 0.1978, 0.6978)  4 Y 3.16-3.23
Te (0.9287, 0.3030, 0.3343)  2 Y 2.95-3.07
Te (0.4287, 0.1657, 0.1970)  2 Y 2.95-3.07
Te (0.5703, 0.3058, 0.8018)  2 Y 2.95-3.08
Te (0.2500, 0.3250, 0.8250)  4 Y 3.18-3.23
Y (0.3316, 0.5025, 0.1247)  6 Te 2.95-3.24
Y (0.3126, 0.0158, 0.1096)  6 Te 3.07-3.18
Y (0.6684, 0.4975, 0.8753)  6 Te 2.95-3.24
Y (0.8126, 0.3904, 0.4842)  6 Te 3.07-3.18
Y (0.6874, 0.9842, 0.8904)  6 Te 3.07-3.18
Y (0.8316, 0.3753, 0.9975)  6 Te 2.95-3.24
Y (0.1684, 0.6247, 0.0025)  6 Te 2.95-3.24
Y (0.1874, 0.6096, 0.5158)  6 Te 3.07-3.18
Cs (0.0777, 0.1922, 0.1812)  6 Te 3.74-4.15, 2 Cs 4.06-4.14
Cs (0.5777, 0.3188, 0.3078)  6 Te 3.74-4.15, 2 Cs 4.06-4.14
Cs (0.0865, 0.1834, 0.6828)  6 Te 3.76-4.13, 2 Cs 4.06-4.14
Cs (0.9223, 0.8078, 0.8188)  6 Te 3.74-4.15, 2 Cs 4.06-4.14
Cs (0.9135, 0.8166, 0.3172)  6 Te 3.76-4.13, 2 Cs 4.06-4.14
Cs (0.4135, 0.1828, 0.6834)  6 Te 3.76-4.13, 2 Cs 4.06-4.14
Cs (0.5865, 0.8172, 0.3166)  6 Te 3.76-4.13, 2 Cs 4.06-4.14
Cs (0.4223, 0.6812, 0.6922)  6 Te 3.74-4.15, 2 Cs 4.06-4.14



2.
Compound: Cs3YTe
Source: Alexandria via LeMat-Bulk
Functional: GGA-PBE
Structure: optimized geometry

Results
The space group is Pm-3m (221). Its uncorrected formation energy is 93 meV/atom. The calculation puts the density of states at the Fermi level at 4.7 states/eV per cell.

Lattice parameters (Å, degrees): 7.3560 7.3560 7.3560 90.00 90.00 90.00
Last column: nearest neighbours and their distance in Å.
Atoms (fractional coordinates):
Cs (0.0000, 0.5000, 0.0000)  2 Te 3.68
Cs (0.5000, 0.0000, 0.0000)  2 Te 3.68
Cs (0.0000, 0.0000, 0.5000)  2 Te 3.68
Y (0.5000, 0.5000, 0.5000)  12 Cs 5.20
Te (0.0000, 0.0000, 0.0000)  6 Cs 3.68



3.
Compound: CsYTe2
Source: Alexandria via LeMat-Bulk
Functional: GGA-PBE
Structure: optimized geometry

Results
The space group is C2/c (15). Its uncorrected formation energy is -1260 meV/atom. The calculation puts the density of states at the Fermi level at 0.0 states/eV per cell.

Lattice parameters (Å, degrees): 20.6748 9.3440 9.3440 90.00 109.85 70.15
Last column: nearest neighbours and their distance in Å.
Atoms (fractional coordinates):
Te (0.2500, 0.8050, 0.3050)  2 Y 2.95
Te (0.5564, 0.0825, 0.2926)  2 Y 2.94
Te (0.7500, 0.6792, 0.1792)  2 Y 2.95
Te (0.7500, 0.1950, 0.6950)  2 Y 2.95
Te (0.4436, 0.9175, 0.7074)  2 Y 2.94
Te (0.5589, 0.5807, 0.2952)  2 Y 2.94
Te (0.7501, 0.6792, 0.6953)  2 Y 2.95
Te (0.4411, 0.4193, 0.7048)  2 Y 2.94
Te (0.2500, 0.3208, 0.8208)  2 Y 2.95
Te (0.7499, 0.1953, 0.1792)  2 Y 2.95
Te (0.2501, 0.8047, 0.8208)  2 Y 2.95
Te (0.9436, 0.7926, 0.5825)  2 Y 2.94
Te (0.0564, 0.2074, 0.4175)  2 Y 2.94
Te (0.2499, 0.3208, 0.3047)  2 Y 2.95
Te (0.0589, 0.2048, 0.9193)  2 Y 2.94
Te (0.9411, 0.7952, 0.0807)  2 Y 2.94
Y (0.6563, 0.7594, 0.3669)  4 Te 2.94-2.95
Y (0.8438, 0.8668, 0.7557)  4 Te 2.94-2.95
Y (0.3437, 0.2406, 0.6331)  4 Te 2.94-2.95
Y (0.1562, 0.1332, 0.2443)  4 Te 2.94-2.95
Y (0.6562, 0.2557, 0.3668)  4 Te 2.94-2.95
Y (0.1563, 0.1331, 0.7406)  4 Te 2.94-2.95
Y (0.3438, 0.7443, 0.6332)  4 Te 2.94-2.95
Y (0.8437, 0.8669, 0.2594)  4 Te 2.94-2.95
Cs (0.8839, 0.3354, 0.0367)  6 Te 3.91-4.03
Cs (0.1161, 0.6646, 0.9633)  6 Te 3.91-4.03
Cs (0.6163, 0.0383, 0.8364)  6 Te 3.91-4.10
Cs (0.6161, 0.5367, 0.8354)  6 Te 3.91-4.03
Cs (0.1163, 0.6636, 0.4617)  6 Te 3.91-4.10
Cs (0.8837, 0.3364, 0.5383)  6 Te 3.91-4.10
Cs (0.3837, 0.9617, 0.1636)  6 Te 3.91-4.10
Cs (0.3839, 0.4633, 0.1646)  6 Te 3.91-4.03